Below is a geometry-optimized LaNbBrO2 structure, with properties calculated at the PBE-GGA level.

Cell: 4.1349 5.3060 4.1349 Å, 90.00 90.00 90.00°
Closest atoms and distances in Å follow each position.
Sites, in units of the cell vectors:
La 0.5000 0.5000 0.5000  4 Br 2.92
Nb 0.0000 0.0000 0.0000  4 O 2.07
O 0.5000 0.0000 0.0000  2 Nb 2.07
O 0.0000 0.0000 0.5000  2 Nb 2.07
Br 0.0000 0.5000 0.0000  2 Nb 2.65, 4 La 2.92

Computed properties:
Formation energy from raw total energies, eV per formula unit: -8.0
Density of states at the Fermi level, states/eV/f.u.: 4.87
Total magnetization, μB per formula unit: 0.00
Symmetry: P4/mmm (123)

Below is a geometry-optimized LaNbOs2Br structure, with properties calculated at the PBE-GGA level.

Cell: 4.8519 5.4066 4.8519 Å, 90.00 90.00 90.00°
Closest atoms and distances in Å follow each position.
Sites, in units of the cell vectors:
Os 0.0000 0.0000 0.5000  2 La 2.43
Nb 0.5000 0.5000 0.5000  4 Br 3.43, 8 Os 3.63
Os 0.5000 0.0000 0.0000  2 La 2.43
La 0.0000 0.0000 0.0000  4 Os 2.43, 2 Br 2.70
Br 0.0000 0.5000 0.0000  2 La 2.70

Computed properties:
Formation energy from raw total energies, eV per formula unit: 11.0
Density of states at the Fermi level, states/eV/f.u.: 11.83
Total magnetization, μB per formula unit: 0.00
Symmetry: P4/mmm (123)

Below is a geometry-optimized LaNbPbBr2 structure, with properties calculated at the PBE-GGA level.

Cell: 5.0504 6.2879 5.0504 Å, 90.00 90.00 90.00°
Closest atoms and distances in Å follow each position.
Sites, in units of the cell vectors:
Nb 0.0000 0.0000 0.0000  4 Br 2.53
La 0.0000 0.5000 0.0000  2 Nb 3.14
Br 0.0000 0.0000 0.5000  2 Nb 2.53
Br 0.5000 0.0000 0.0000  2 Nb 2.53
Pb 0.5000 0.5000 0.5000  4 La 3.57

Computed properties:
Formation energy from raw total energies, eV per formula unit: 0.0
Density of states at the Fermi level, states/eV/f.u.: 3.84
Total magnetization, μB per formula unit: 0.00
Symmetry: P4/mmm (123)

Below is a geometry-optimized LaNb2PbBr structure, with properties calculated at the PBE-GGA level.

Cell: 5.2916 5.8318 5.2916 Å, 90.00 90.00 90.00°
Closest atoms and distances in Å follow each position.
Sites, in units of the cell vectors:
Nb 0.5000 0.0000 0.0000  2 Pb 2.65
Pb 0.0000 0.0000 0.0000  4 Nb 2.65, 2 Br 2.92
La 0.5000 0.5000 0.5000  4 Br 3.74, 8 Nb 3.94
Nb 0.0000 0.0000 0.5000  2 Pb 2.65
Br 0.0000 0.5000 0.0000  2 Pb 2.92

Computed properties:
Formation energy from raw total energies, eV per formula unit: 6.2
Density of states at the Fermi level, states/eV/f.u.: 13.53
Total magnetization, μB per formula unit: 0.00
Symmetry: P4/mmm (123)

Below is a geometry-optimized RbLaNbPdBr structure, with properties calculated at the PBE-GGA level.

Cell: 3.7832 5.0165 18.0982 Å, 90.00 101.30 90.00°
Closest atoms and distances in Å follow each position.
Sites, in units of the cell vectors:
Pd 0.8904 0.5000 0.6768  2 Nb 2.61
Pd 0.8904 0.0000 0.1768  2 Nb 2.61
La 0.3873 0.5000 0.1741  2 Nb 3.12, 4 Pd 3.14
Nb 0.4855 0.0000 0.2783  2 Pd 2.61, 2 Br 2.83
Br 0.0968 0.5000 0.8973  2 Nb 2.83
Rb 0.6659 0.0000 0.9715  4 Br 3.41, 1 Pd 3.65, 2 Rb 3.78
Nb 0.4855 0.5000 0.7783  2 Pd 2.61, 2 Br 2.83
Rb 0.6659 0.5000 0.4715  4 Br 3.41, 1 Pd 3.65, 2 Rb 3.78
Br 0.0968 0.0000 0.3973  2 Nb 2.83
La 0.3873 0.0000 0.6741  2 Nb 3.12, 4 Pd 3.14

Computed properties:
Formation energy from raw total energies, eV per formula unit: -0.8
Density of states at the Fermi level, states/eV/f.u.: 3.42
Energy relative to the lowest polymorph listed for this composition, meV/atom: 285
Total magnetization, μB per formula unit: 1.56
Symmetry: Cm (8)

Below is a geometry-optimized RbLaNbPdBr structure, with properties calculated at the PBE-GGA level.

Cell: 4.3551 4.3551 29.4520 Å, 90.00 90.00 120.00°
Closest atoms and distances in Å follow each position.
Sites, in units of the cell vectors:
Nb 0.3333 0.6667 0.7752  3 Pd 2.51
La 0.0000 0.0000 0.5176  3 Br 3.27, 3 Nb 3.36, 3 Pd 3.37
La 0.6667 0.3333 0.8509  3 Br 3.27, 3 Nb 3.36, 3 Pd 3.37
La 0.3333 0.6667 0.1843  3 Br 3.27, 3 Nb 3.36, 3 Pd 3.37
Pd 0.0000 0.0000 0.7748  3 Nb 2.51
Pd 0.6667 0.3333 0.1081  3 Nb 2.51
Nb 0.6667 0.3333 0.4418  3 Pd 2.51
Pd 0.3333 0.6667 0.4415  3 Nb 2.51
Rb 0.3333 0.6667 0.0093  3 Br 3.60, 3 Pd 3.85, 3 Nb 3.85
Nb 0.0000 0.0000 0.1085  3 Pd 2.51
Br 0.0000 0.0000 0.9218  3 La 3.27, 3 Rb 3.60
Rb 0.6667 0.3333 0.6760  3 Br 3.60, 3 Pd 3.85, 3 Nb 3.85
Br 0.3333 0.6667 0.5885  3 La 3.27, 3 Rb 3.60
Rb 0.0000 0.0000 0.3427  3 Br 3.60, 3 Pd 3.85, 3 Nb 3.85
Br 0.6667 0.3333 0.2551  3 La 3.27, 3 Rb 3.60

Computed properties:
Formation energy from raw total energies, eV per formula unit: -2.2
Density of states at the Fermi level, states/eV/f.u.: 3.34
Energy relative to the lowest polymorph listed for this composition, meV/atom: 0
Total magnetization, μB per formula unit: 0.00
Symmetry: R3m (160)

Below is a geometry-optimized RbLaNbPdBr structure, with properties calculated at the PBE-GGA level.

Cell: 4.9083 3.7074 16.9749 Å, 90.00 98.07 90.00°
Closest atoms and distances in Å follow each position.
Sites, in units of the cell vectors:
Nb 0.0024 0.5000 0.7335  2 Pd 2.61, 1 Br 2.78
Br 0.8478 0.5000 0.8852  1 Nb 2.78
Br 0.8478 0.0000 0.3852  1 Nb 2.78
Nb 0.0024 0.0000 0.2335  2 Pd 2.61, 1 Br 2.78
Rb 0.3858 0.5000 0.5050  4 Br 3.61-3.74, 4 Pd 3.66-3.68, 2 Rb 3.71
Pd 0.9464 0.0000 0.6244  2 Nb 2.61
Rb 0.3858 0.0000 0.0050  4 Br 3.61-3.74, 4 Pd 3.66-3.68, 2 Rb 3.71
La 0.5255 0.0000 0.7498  4 Nb 3.03-3.15, 2 Pd 3.17-3.30, 2 Br 3.19
Pd 0.9464 0.5000 0.1244  2 Nb 2.61
La 0.5255 0.5000 0.2498  4 Nb 3.03-3.15, 2 Pd 3.17-3.30, 2 Br 3.19

Computed properties:
Formation energy from raw total energies, eV per formula unit: -1.1
Density of states at the Fermi level, states/eV/f.u.: 4.78
Energy relative to the lowest polymorph listed for this composition, meV/atom: 224
Total magnetization, μB per formula unit: 0.00
Symmetry: Cm (8)

Below is a geometry-optimized RbLaNbPdBr structure, with properties calculated at the PBE-GGA level.

Cell: 3.5393 3.5393 21.7508 Å, 90.00 90.00 90.00°
Closest atoms and distances in Å follow each position.
Sites, in units of the cell vectors:
Pd 0.5000 0.5000 0.3685  4 Nb 2.74
La 0.5000 0.5000 0.2132  4 Nb 3.38, 1 Pd 3.38, 4 Br 3.39, 4 La 3.54
Nb 0.0000 0.0000 0.3174  4 Pd 2.74
Pd 0.0000 0.0000 0.8685  4 Nb 2.74
Rb 0.0000 0.0000 0.4950  4 Br 3.51, 4 Rb 3.54, 4 Pd 3.72, 1 Nb 3.86
Br 0.0000 0.0000 0.1079  4 La 3.39, 4 Rb 3.51, 4 Br 3.54
Rb 0.5000 0.5000 0.9950  4 Br 3.51, 4 Rb 3.54, 4 Pd 3.72, 1 Nb 3.86
Br 0.5000 0.5000 0.6079  4 La 3.39, 4 Rb 3.51, 4 Br 3.54
Nb 0.5000 0.5000 0.8174  4 Pd 2.74
La 0.0000 0.0000 0.7132  4 Nb 3.38, 1 Pd 3.38, 4 Br 3.39, 4 La 3.54

Computed properties:
Formation energy from raw total energies, eV per formula unit: -2.2
Density of states at the Fermi level, states/eV/f.u.: 3.92
Energy relative to the lowest polymorph listed for this composition, meV/atom: 0
Total magnetization, μB per formula unit: 0.00
Symmetry: I4mm (107)